Record 1
The following is a PBE-GGA calculation of crystalline MgBe2Cd2 at its relaxed geometry, from the Alexandria database.

Geometry as extended XYZ:
```
10
Lattice="-4.9083 0.9996 -5.4250 2.4300 -6.1274 -3.3275 -2.0029 -1.6167 1.5143" Properties=species:S:1:pos:R:3 pbc="T T T"
Be 0.4443 -2.3152 -1.8840
Be -2.7144 -0.0387 -3.6317
Be 0.2361 -5.0891 -5.1209
Be -2.9227 -2.8126 -6.8685
Cd -2.0684 -1.6558 -1.5589
Cd -0.2550 -4.8414 -2.5612
Cd -2.4129 -5.0886 -5.6794
Cd -4.2263 -1.9031 -4.6771
Mg 0.0000 0.0000 0.0000
Mg -1.2392 -2.5639 -4.3763
```

Calculated formation energy = 0.319 eV/atom



Record 2
The following is a PBE-GGA calculation of crystalline Mg3BeCd at its relaxed geometry, from the Alexandria database.

Geometry as extended XYZ:
```
5
Lattice="-1.2858 -2.6201 3.8135 -3.2771 -2.2784 -2.6703 3.2663 -3.3174 -1.1779" Properties=species:S:1:pos:R:3 pbc="T T T"
Cd -0.6483 -4.1079 -0.0174
Mg -0.6429 -1.3100 1.9067
Mg -1.6385 -1.1392 -1.3352
Mg 1.6331 -1.6587 -0.5890
Be 0.0000 0.0000 0.0000
```

Calculated formation energy = 0.243 eV/atom



Record 3
The following is a PBE-GGA calculation of crystalline MgBeCd2 at its relaxed geometry, from the Alexandria database.

Geometry as extended XYZ:
```
4
Lattice="0.0000 3.3046 3.3046 3.3046 0.0000 3.3046 3.3046 3.3046 0.0000" Properties=species:S:1:pos:R:3 pbc="T T T"
Mg 3.3046 3.3046 3.3046
Cd 1.6523 1.6523 1.6523
Cd 4.9569 4.9569 4.9569
Be 0.0000 0.0000 0.0000
```

Calculated formation energy = 0.274 eV/atom



Record 4
The following is a PBE-GGA calculation of crystalline MgBeCd3 at its relaxed geometry, from the Alexandria database.

Geometry as extended XYZ:
```
5
Lattice="-3.1960 -0.4332 -4.2792 -4.2652 -0.3683 3.2228 -0.5546 5.3283 -0.1252" Properties=species:S:1:pos:R:3 pbc="T T T"
Mg 0.0000 0.0000 0.0000
Cd -0.2773 2.6641 -0.0626
Cd -1.5980 -0.2166 -2.1396
Cd -2.1326 -0.1841 1.6114
Be -4.0079 2.2634 -0.5908
```

Calculated formation energy = 0.918 eV/atom



Record 5
The following is a PBE-GGA calculation of crystalline Mg2BeCd2 at its relaxed geometry, from the Alexandria database.

Geometry as extended XYZ:
```
5
Lattice="2.5884 7.6121 1.2076 -2.6773 7.6708 -0.3045 -0.7120 -7.8012 2.1765" Properties=species:S:1:pos:R:3 pbc="T T T"
Cd -1.7169 3.7556 1.1618
Cd 0.9160 3.7262 1.9178
Mg -0.0526 9.0391 0.5342
Mg -0.0363 6.2438 0.3690
Be 0.0000 0.0000 0.0000
```

Calculated formation energy = 0.484 eV/atom



Record 6
The following is a PBE-GGA calculation of crystalline MgBeCd2 at its relaxed geometry, from the Alexandria database.

Geometry as extended XYZ:
```
4
Lattice="5.4002 0.1201 -0.1059 4.5319 2.9391 -0.1059 1.7619 0.5427 4.8655" Properties=species:S:1:pos:R:3 pbc="T T T"
Cd 6.1315 1.8886 2.1818
Cd 9.6476 2.9716 -0.0667
Be 2.9235 0.9005 1.1634
Mg 8.7705 2.7014 3.4903
```

Calculated formation energy = 0.245 eV/atom



Record 7
The following is a PBE-GGA calculation of crystalline MgBeCd2 at its relaxed geometry, from the Alexandria database.

Geometry as extended XYZ:
```
8
Lattice="4.2172 0.0000 0.0000 0.0000 4.2172 0.0000 2.1086 2.1086 9.3343" Properties=species:S:1:pos:R:3 pbc="T T T"
Cd 5.2715 5.1716 7.0007
Cd 3.0630 1.0543 2.3336
Cd 1.1542 3.1629 2.3336
Cd 3.1629 3.2628 7.0007
Be 2.1086 2.1086 0.0000
Be 2.1086 4.2172 4.6672
Mg 4.2172 2.1086 4.6672
Mg 0.0000 0.0000 0.0000
```

Calculated formation energy = 0.395 eV/atom



Record 8
The following is a PBE-GGA calculation of crystalline MgBeCd2 at its relaxed geometry, from the Alexandria database.

Geometry as extended XYZ:
```
4
Lattice="4.8183 0.0996 0.0000 -1.1695 4.6753 0.0000 0.0000 0.0000 3.2676" Properties=species:S:1:pos:R:3 pbc="T T T"
Mg 2.4091 0.0498 1.6338
Cd 0.0000 0.0000 0.0000
Cd 1.8244 2.3874 0.0000
Be -0.5848 2.3376 1.6338
```

Calculated formation energy = 0.295 eV/atom



no.,E (eV per cell)
1,-18.57
2,-8.21
3,-6.06
4,-3.48
5,-6.32
6,-6.17
7,-11.14
8,-5.97